Record 1
# PBE Ce2AsBr2, optimized geometry
# * Fermi-level density of states: 35.9 states/eV per cell
# * V: 32.44 Å³/atom
# * uncorrected formation energy: -1.6185 eV/atom
data_Ce2AsBr2
_chemical_formula_sum 'Ce6 As3 Br6'
_cell_length_a 4.2173
_cell_length_b 4.2173
_cell_length_c 31.5889
_cell_angle_alpha 90.00
_cell_angle_beta 90.00
_cell_angle_gamma 120.00
_symmetry_space_group_name_H-M 'R -3 m'
_symmetry_Int_Tables_number 166
_symmetry_space_group_name_Hall '-R 3 2"'
loop_
_atom_site_label
_atom_site_type_symbol
_atom_site_fract_x
_atom_site_fract_y
_atom_site_fract_z
Ce1 Ce 0.0000 0.0000 0.1142
As1 As 0.0000 0.0000 0.5000
Br1 Br 0.0000 0.0000 0.2770

---

Record 2
# PBE AlSiB, optimized geometry
# * Fermi-level density of states: 1.3 states/eV per cell
# * V: 14.02 Å³/atom
# * uncorrected formation energy: 0.1154 eV/atom
data_AlSiB
_chemical_formula_sum 'Al2 Si2 B2'
_cell_length_a 5.702
_cell_length_b 3.287
_cell_length_c 4.885
_cell_angle_alpha 90.00
_cell_angle_beta 113.26
_cell_angle_gamma 90.00
_symmetry_space_group_name_H-M 'C 1 m 1'
_symmetry_Int_Tables_number 8
_symmetry_space_group_name_Hall 'C -2y'
loop_
_atom_site_label
_atom_site_type_symbol
_atom_site_fract_x
_atom_site_fract_y
_atom_site_fract_z
Al1 Al 0.000 0.000 0.000
Si1 Si 0.184 0.000 0.560
B1 B 0.078 0.500 0.736

---

Record 3
# PBE ScZn2NiPt, optimized geometry
# * Fermi-level density of states: 2.9 states/eV per cell
# * calculated formation energy: 545 kJ/mol of formula units
# * V: 20.70 Å³/atom
data_ScZn2NiPt
_chemical_formula_sum 'Sc1 Zn2 Ni1 Pt1'
_cell_length_a 4.911
_cell_length_b 4.911
_cell_length_c 4.292
_cell_angle_alpha 90.00
_cell_angle_beta 90.00
_cell_angle_gamma 90.00
_symmetry_space_group_name_H-M 'P 4/m m m'
_symmetry_Int_Tables_number 123
_symmetry_space_group_name_Hall '-P 4 2'
loop_
_atom_site_label
_atom_site_type_symbol
_atom_site_fract_x
_atom_site_fract_y
_atom_site_fract_z
Sc1 Sc 0.000 0.000 0.000
Zn1 Zn 0.000 0.500 0.000
Ni1 Ni 0.000 0.000 0.500
Pt1 Pt 0.500 0.500 0.500

---

Record 4
# PBE RuAu2C2, optimized geometry
# * Fermi-level density of states: 6.8 states/eV per cell
# * calculated formation energy: 1074 kJ/mol of formula units
# * V: 13.97 Å³/atom
data_RuAu2C2
_chemical_formula_sum 'Ru2 Au4 C4'
_cell_length_a 6.983
_cell_length_b 6.983
_cell_length_c 2.865
_cell_angle_alpha 90.00
_cell_angle_beta 90.00
_cell_angle_gamma 90.00
_symmetry_space_group_name_H-M 'P 4/m b m'
_symmetry_Int_Tables_number 127
_symmetry_space_group_name_Hall '-P 4 2ab'
loop_
_atom_site_label
_atom_site_type_symbol
_atom_site_fract_x
_atom_site_fract_y
_atom_site_fract_z
Ru1 Ru 0.000 0.000 0.000
Au1 Au 0.137 0.363 0.000
C1 C 0.200 0.700 0.500

---

Record 5
# PBE Nd3Y5Th2, optimized geometry
# * Fermi-level density of states: 56.4 states/eV per cell
# * calculated formation energy: 194 kJ/mol of formula units
# * V: 33.90 Å³/atom
data_Nd3Y5Th2
_chemical_formula_sum 'Nd12 Y20 Th8'
_cell_length_a 10.857
_cell_length_b 17.395
_cell_length_c 8.991
_cell_angle_alpha 90.00
_cell_angle_beta 127.00
_cell_angle_gamma 90.00
_symmetry_space_group_name_H-M 'C 1 2/c 1'
_symmetry_Int_Tables_number 15
_symmetry_space_group_name_Hall '-C 2yc'
loop_
_atom_site_label
_atom_site_type_symbol
_atom_site_fract_x
_atom_site_fract_y
_atom_site_fract_z
Nd1 Nd 0.000 0.222 0.250
Nd2 Nd 0.145 0.124 0.040
Y1 Y 0.000 0.030 0.250
Y2 Y 0.000 0.279 0.750
Y3 Y 0.000 0.468 0.750
Y4 Y 0.250 0.118 0.752
Th1 Th 0.138 0.378 0.525

---

Record 6
# PBE K2AgSb, optimized geometry
# * Fermi-level density of states: 1.0 states/eV per cell
# * V: 29.37 Å³/atom
# * uncorrected formation energy: -0.2043 eV/atom
data_K2AgSb
_chemical_formula_sum 'K4 Ag2 Sb2'
_cell_length_a 5.502
_cell_length_b 5.502
_cell_length_c 7.762
_cell_angle_alpha 90.00
_cell_angle_beta 90.00
_cell_angle_gamma 90.00
_symmetry_space_group_name_H-M 'I -4 m 2'
_symmetry_Int_Tables_number 119
_symmetry_space_group_name_Hall 'I -4 -2'
loop_
_atom_site_label
_atom_site_type_symbol
_atom_site_fract_x
_atom_site_fract_y
_atom_site_fract_z
K1 K 0.000 0.000 0.000
K2 K 0.000 0.500 0.250
Ag1 Ag 0.000 0.500 0.750
Sb1 Sb 0.000 0.000 0.500

---

Record 7
# PBE PuSi4Pd6, optimized geometry
# * Fermi-level density of states: 12.6 states/eV per cell
# * V: 15.75 Å³/atom
# * uncorrected formation energy: -0.6943 eV/atom
data_PuSi4Pd6
_chemical_formula_sum 'Pu1 Si4 Pd6'
_cell_length_a 7.2151
_cell_length_b 7.2151
_cell_length_c 3.8423
_cell_angle_alpha 90.00
_cell_angle_beta 90.00
_cell_angle_gamma 120.00
_symmetry_space_group_name_H-M 'P -6 m 2'
_symmetry_Int_Tables_number 187
_symmetry_space_group_name_Hall 'P -6 2'
loop_
_atom_site_label
_atom_site_type_symbol
_atom_site_fract_x
_atom_site_fract_y
_atom_site_fract_z
Pu1 Pu 0.0000 0.0000 0.0000
Si1 Si 0.3333 0.6667 0.0000
Si2 Si 0.3821 0.1910 0.5000
Pd1 Pd 0.1998 0.3996 0.5000
Pd2 Pd 0.5348 0.0695 0.0000